DFT (PBE) results for crystalline Cs4Hf2Sb at its relaxed geometry.

Computed properties:
Its formation energy (no corrections) is 7.1 eV/f.u. For the total energy, the calculation gives -2.911 eV/atom. The density of states at the Fermi level is 0.69 states/eV per atom. Its total moment is 0.9 μB/cell.

Unit cell a=7.587 b=7.587 c=10.539 alpha=68.90 beta=68.90 gamma=90.00
Positions (direct):
Cs (0.000, 0.500, 0.000)
Hf (0.432, 0.432, 0.136)
Sb (0.000, 0.000, 0.000)
Hf (0.568, 0.568, 0.864)
Cs (0.199, 0.199, 0.601)
Cs (0.500, 0.000, 0.000)
Cs (0.801, 0.801, 0.399)